(1)
{
  "formula": "Cs2Np2AgTe6",
  "functional": "PBE-GGA",
  "state": "optimized geometry",
  "lattice_angstrom": [[-1.3876, 7.4182, -0.1491], [-5.8233, -4.7486, -0.7196], [1.1445, -0.8544, 9.3245]],
  "species": ["Cs", "Cs", "Ag", "Te", "Te", "Te", "Te", "Te", "Te", "Np", "Np"],
  "frac_coords": [[0.1660, 0.8340, 0.0000], [0.8340, 0.1660, 0.0000], [0.0000, 0.0000, 0.5000], [0.3960, 0.0640, 0.6838], [0.7031, 0.7031, 0.6921], [0.0640, 0.3960, 0.6838], [0.9360, 0.6040, 0.3162], [0.2969, 0.2969, 0.3079], [0.6040, 0.9360, 0.3162], [0.6690, 0.3310, 0.5000], [0.3310, 0.6690, 0.5000]],
  "total_magnetization_mub_per_cell": 4.911,
  "sg": "No. 12",
  "dos_ef_per_ev_atom": 1.82,
  "raw_formation_energy_ev_per_atom": -0.6356
}



(2)
{
  "formula": "TaAgMo2",
  "functional": "PBE-GGA",
  "state": "optimized geometry",
  "lattice_angstrom": [[2.7485, -0.0037, 0.0000], [-0.8171, 2.6242, 0.0000], [0.0000, 0.0000, 9.3405]],
  "species": ["Ag", "Ta", "Mo", "Mo"],
  "frac_coords": [[0.5000, 0.5000, 0.7500], [0.5000, 0.5000, 0.2500], [0.0000, 0.0000, 0.4952], [0.0000, 0.0000, 0.0048]],
  "total_magnetization_mub_per_cell": 0.000,
  "e_form_ev_per_atom": 0.20,
  "sg": "No. 65",
  "e_above_lowest_polymorph_ev_per_atom": 0.027,
  "dos_ef_per_ev_atom": 0.86
}



(3)
{
  "formula": "Er2BeIr",
  "functional": "PBE-GGA",
  "state": "optimized geometry",
  "lattice_angstrom": [[3.4723, 0.0000, 0.0000], [0.0000, 4.7372, 0.0000], [0.0000, 0.0000, 4.7372]],
  "species": ["Er", "Er", "Ir", "Be"],
  "frac_coords": [[0.0000, 0.0000, 0.5000], [0.0000, 0.5000, 0.0000], [0.5000, 0.5000, 0.5000], [0.5000, 0.0000, 0.0000]],
  "total_magnetization_mub_per_cell": 0.000,
  "e_form_ev_per_atom": -0.43,
  "sg": "No. 123",
  "e_above_lowest_polymorph_ev_per_atom": 0.136,
  "dos_ef_per_ev_atom": 0.90
}



(4)
{
  "formula": "Ac2La2CoAu2",
  "functional": "PBE-GGA",
  "state": "optimized geometry",
  "lattice_angstrom": [[4.1125, -0.0011, 0.0005], [-0.0002, 7.4020, -0.1268], [2.0544, 2.9793, 7.0370]],
  "species": ["Co", "Ac", "Ac", "La", "La", "Au", "Au"],
  "frac_coords": [[0.0000, 0.0000, 0.0000], [0.2072, 0.2208, 0.5867], [0.7928, 0.7792, 0.4133], [0.5216, 0.7669, 0.9570], [0.4784, 0.2331, 0.0430], [0.8787, 0.4330, 0.2438], [0.1213, 0.5670, 0.7562]],
  "total_magnetization_mub_per_cell": 0.000,
  "e_form_ev_per_atom": -0.47,
  "sg": "No. 12",
  "dos_ef_per_ev_atom": 0.91
}